1.
The following is a DFT calculation (PBE) of crystalline Ba6Pd2PbI3 at its relaxed geometry.

Its uncorrected formation energy is -0.98 eV per atom. The calculation puts the magnetization at 0.00 μB per formula unit. The value obtained for the mass density is 5.15 g cm⁻³.

Lattice parameters (Å, degrees): 22.3282 4.7575 10.4476 90.00 109.10 90.00
Space group C2/m (No. 12)
One atom of each set of equivalent atoms:
Ba: 0.0135 0.0000 0.2474 [4 per cell]
Ba: 0.1630 0.5000 0.1150 [4 per cell]
Ba: 0.1794 0.5000 0.5580 [4 per cell]
Pd: 0.1694 0.0000 0.3382 [4 per cell]
Pb: 0.0000 0.5000 0.0000 [2 per cell]
I: 0.0000 0.5000 0.5000 [2 per cell]
I: 0.1647 0.0000 0.8314 [4 per cell]

---

2.
The following is a DFT calculation (PBE) of crystalline BaHg2Ru at its relaxed geometry.

The calculation puts the magnetization at 0.00 μB per formula unit. Its uncorrected energy is -2.7894 eV/atom. The value obtained for the mass density is 9.71 g cm⁻³.

Lattice parameters (Å, degrees): 3.4885 4.4301 14.1610 90.00 90.00 90.00
Space group Imm2 (No. 44)
One atom of each set of equivalent atoms:
Ba: 0.0000 0.0000 0.0000 [2 per cell]
Hg: 0.0000 0.0000 0.6536 [2 per cell]
Hg: 0.0000 0.5000 0.8102 [2 per cell]
Ru: 0.0000 0.5000 0.3137 [2 per cell]